! Dy2Ga3Fe14 PBE optimized geometry; values from VASP
! SG   P6_3/mmc
! Fermi-level density of states   0.807 states/eV per atom
! Formation energy from the elements   -1.99 eV/f.u.
! Electronic total energy   -277.5 eV for the cell shown
! Volume   518.2 Å³/cell
&SYSTEM
  ibrav = 0, nat = 38, ntyp = 3
/
ATOMIC_SPECIES
Dy 162.50 Dy.upf
Ga 69.72 Ga.upf
Fe 55.84 Fe.upf
ATOMIC_POSITIONS crystal
Dy 0.000 0.000 0.250
Dy 0.000 0.000 0.750
Dy 0.333 0.667 0.250
Dy 0.667 0.333 0.750
Ga 0.000 0.500 0.000
Ga 0.000 0.500 0.500
Ga 0.500 0.000 0.000
Ga 0.500 0.000 0.500
Ga 0.500 0.500 0.000
Ga 0.500 0.500 0.500
Fe 0.029 0.350 0.750
Fe 0.029 0.679 0.750
Fe 0.165 0.331 0.014
Fe 0.165 0.331 0.486
Fe 0.165 0.835 0.014
Fe 0.165 0.835 0.486
Fe 0.321 0.350 0.750
Fe 0.321 0.971 0.750
Fe 0.331 0.165 0.514
Fe 0.331 0.165 0.986
Fe 0.333 0.667 0.611
Fe 0.333 0.667 0.889
Fe 0.350 0.029 0.250
Fe 0.350 0.321 0.250
Fe 0.650 0.679 0.750
Fe 0.650 0.971 0.750
Fe 0.667 0.333 0.111
Fe 0.667 0.333 0.389
Fe 0.669 0.835 0.014
Fe 0.669 0.835 0.486
Fe 0.679 0.029 0.250
Fe 0.679 0.650 0.250
Fe 0.835 0.165 0.514
Fe 0.835 0.165 0.986
Fe 0.835 0.669 0.514
Fe 0.835 0.669 0.986
Fe 0.971 0.321 0.250
Fe 0.971 0.650 0.250
CELL_PARAMETERS angstrom
8.533 0.000 0.000
-4.266 7.390 0.000
0.000 0.000 8.217